[1]
Computed, not measured: a relaxed MgReNiBi crystal at the PBE level of DFT.

Summary:
The total energy comes out at -5.062 eV/atom.

Lattice parameters (Å, degrees): 4.667 4.667 4.667 60.00 60.00 60.00
Atoms (fractional coordinates):
1 Bi 0.000 0.000 0.000
2 Mg 0.250 0.250 0.250
3 Ni 0.750 0.750 0.750
4 Re 0.500 0.500 0.500

***

[2]
Computed, not measured: a relaxed SrGdPO crystal at the PBE level of DFT.

Summary:
The offset from the most stable computed form is 0.123 eV per atom.

Lattice parameters (Å, degrees): 5.481 5.481 5.672 90.00 90.00 90.00
Atoms (fractional coordinates):
1 Gd 0.000 0.000 0.500
2 Gd 0.500 0.500 0.500
3 O 0.000 0.000 0.000
4 O 0.500 0.500 0.000
5 P 0.000 0.500 0.498
6 P 0.500 0.000 0.502
7 Sr 0.500 0.000 0.002
8 Sr 0.000 0.500 0.998

***

[3]
Computed, not measured: a relaxed Cs2Cu2TcTe4 crystal at the PBE level of DFT.

Summary:
The total energy comes out at -3.917 eV/atom.

Lattice parameters (Å, degrees): 8.266 8.266 6.224 90.00 90.00 135.81
Each line ends with the local moment (μB).
Atoms (fractional coordinates):
1 Cs 0.500 0.000 0.249  0.01
2 Cs 0.000 0.500 0.751  0.01
3 Cu 0.500 0.500 0.000  0.06
4 Cu 0.000 0.000 0.500  0.07
5 Tc 0.000 0.000 0.000  1.99
6 Te 0.155 0.345 0.250  0.04
7 Te 0.845 0.655 0.250  0.04
8 Te 0.345 0.155 0.750  0.05
9 Te 0.655 0.845 0.750  0.04